Entry from the Alexandria database: an optimized crystal structure of Sm2ZnNi3 (PBE-GGA).

Properties
As for the spin magnetization: 0.072 μB/atom. The calculated formation energy is -2.046 eV per formula unit. For the total energy, the calculation gives -5.02 eV/atom.

Cell: 4.144 4.144 15.220 Å, 90.00 90.00 120.00°
Atoms (fractional coordinates):
Sm (0.000, 0.000, 0.120)
Sm (0.000, 0.000, 0.380)
Sm (0.000, 0.000, 0.620)
Sm (0.000, 0.000, 0.880)
Zn (0.333, 0.667, 0.250)
Zn (0.667, 0.333, 0.750)
Ni (0.333, 0.667, 0.001)
Ni (0.333, 0.667, 0.499)
Ni (0.333, 0.667, 0.750)
Ni (0.667, 0.333, 0.250)
Ni (0.667, 0.333, 0.501)
Ni (0.667, 0.333, 0.999)

=====

Entry from the Alexandria database: an optimized crystal structure of SmZn9Ni3 (PBE-GGA).

Properties
As for the spin magnetization: 0.000 μB/atom. The calculated formation energy is -3.506 eV per formula unit. For the total energy, the calculation gives -2.85 eV/atom.

Cell: 6.748 6.748 6.614 Å, 98.00 98.00 136.37°
Atoms (fractional coordinates):
Sm (0.000, 0.000, 0.000)
Zn (0.018, 0.666, 0.660)
Zn (0.274, 0.501, 0.781)
Zn (0.334, 0.982, 0.340)
Zn (0.499, 0.726, 0.219)
Zn (0.500, 0.500, 0.500)
Zn (0.501, 0.274, 0.781)
Zn (0.666, 0.018, 0.660)
Zn (0.726, 0.499, 0.219)
Zn (0.982, 0.334, 0.340)
Ni (0.000, 0.000, 0.500)
Ni (0.000, 0.500, 0.000)
Ni (0.500, 0.000, 0.000)

=====

Entry from the Alexandria database: an optimized crystal structure of SmZn3Ni (PBE-GGA).

Properties
As for the spin magnetization: 0.000 μB/atom. The calculated formation energy is -1.008 eV per formula unit. For the total energy, the calculation gives -3.07 eV/atom.

Cell: 4.568 4.568 4.568 Å, 90.00 90.00 90.00°
Atoms (fractional coordinates):
Sm (0.000, 0.000, 0.000)
Zn (0.000, 0.500, 0.500)
Zn (0.500, 0.000, 0.500)
Zn (0.500, 0.500, 0.000)
Ni (0.500, 0.500, 0.500)

=====

Entry from the Alexandria database: an optimized crystal structure of SmZnNi (PBE-GGA).

Properties
As for the spin magnetization: 0.000 μB/atom. The calculated formation energy is -1.236 eV per formula unit. For the total energy, the calculation gives -4.34 eV/atom.

Cell: 7.140 7.140 3.827 Å, 90.00 90.00 120.00°
Atoms (fractional coordinates):
Sm (0.000, 0.412, 0.000)
Sm (0.412, 0.000, 0.000)
Sm (0.588, 0.588, 0.000)
Zn (0.000, 0.762, 0.500)
Zn (0.238, 0.238, 0.500)
Zn (0.762, 0.000, 0.500)
Ni (0.000, 0.000, 0.000)
Ni (0.333, 0.667, 0.500)
Ni (0.667, 0.333, 0.500)

=====

| no. | mass density (g/cm3) |
| --- | --- |
| 1 | 7.96 |
| 2 | 7.89 |
| 3 | 7.06 |
| 4 | 8.09 |